No. 1
The following is a GGA-PBE calculation of CdHg2Br after structural relaxation, from the Alexandria database.

Summary:
DOS(E_F), states/eV per cell: 0.2
E, eV/f.u.: -3.9
Relative energy among the computed polymorphs, meV/atom: 8

a b c (Å): 7.8581 7.8581 7.8581
angles (deg): 31.55 31.55 31.55
Positions (direct):
Cd 0.0000 0.0000 0.0000
Hg 0.2565 0.2565 0.2565
Hg 0.7435 0.7435 0.7435
Br 0.5000 0.5000 0.5000

***

No. 2
The following is a GGA-PBE calculation of MnVW after structural relaxation, from the Alexandria database.

Summary:
DOS(E_F), states/eV per cell: 7.0
Formation energy, kcal/mol of atoms: 0.3
E, eV/f.u.: -31.2
Relative energy among the computed polymorphs, meV/atom: 78

a b c (Å): 3.0190 3.0190 8.9482
angles (deg): 90.00 90.00 90.00
Positions (direct):
Mn 0.2500 0.2500 0.0812
Mn 0.7500 0.7500 0.9188
V 0.2500 0.2500 0.4191
V 0.7500 0.7500 0.5809
W 0.2500 0.2500 0.7599
W 0.7500 0.7500 0.2401

***

No. 3
The following is a GGA-PBE calculation of CsLa3Nd2Te6 after structural relaxation, from the Alexandria database.

Summary:
DOS(E_F), states/eV per cell: 5.3
E, eV/f.u.: -61.1

a b c (Å): 10.3931 10.3931 9.4986
angles (deg): 102.70 102.70 25.50
Positions (direct):
Cs 0.0000 0.0000 0.0000
La 0.0000 0.0000 0.5000
La 0.3391 0.3391 0.1764
La 0.6609 0.6609 0.8236
Nd 0.3276 0.3276 0.6502
Nd 0.6724 0.6724 0.3498
Te 0.1656 0.1656 0.5833
Te 0.1775 0.1775 0.0940
Te 0.4936 0.4936 0.7239
Te 0.5064 0.5064 0.2761
Te 0.8225 0.8225 0.9060
Te 0.8344 0.8344 0.4167

***

No. 4
The following is a GGA-PBE calculation of Ac2Ho2Mg15 after structural relaxation, from the Alexandria database.

Summary:
DOS(E_F), states/eV per cell: 14.5
Formation energy, kcal/mol of atoms: -0.9
E, eV/f.u.: -42.0

a b c (Å): 8.0331 8.0331 8.0331
angles (deg): 83.36 83.36 83.36
Positions (direct):
Ac 0.1629 0.1629 0.1629
Ac 0.8371 0.8371 0.8371
Ho 0.4003 0.4003 0.4003
Ho 0.5997 0.5997 0.5997
Mg 0.0000 0.5000 0.5000
Mg 0.1459 0.1459 0.6520
Mg 0.1459 0.6520 0.1459
Mg 0.2088 0.5000 0.7912
Mg 0.2088 0.7912 0.5000
Mg 0.3480 0.8541 0.8541
Mg 0.5000 0.0000 0.5000
Mg 0.5000 0.2088 0.7912
Mg 0.5000 0.5000 0.0000
Mg 0.5000 0.7912 0.2088
Mg 0.6520 0.1459 0.1459
Mg 0.7912 0.2088 0.5000
Mg 0.7912 0.5000 0.2088
Mg 0.8541 0.3480 0.8541
Mg 0.8541 0.8541 0.3480

***

No. 5
The following is a GGA-PBE calculation of Lu2HgBi after structural relaxation, from the Alexandria database.

Summary:
DOS(E_F), states/eV per cell: 3.2
Formation energy, kcal/mol of atoms: -9.3
E, eV/f.u.: -14.8
Relative energy among the computed polymorphs, meV/atom: 43

a b c (Å): 5.3176 5.3176 5.3176
angles (deg): 60.00 60.00 60.00
Positions (direct):
Lu 0.2500 0.2500 0.2500
Lu 0.7500 0.7500 0.7500
Hg 0.0000 0.0000 0.0000
Bi 0.5000 0.5000 0.5000

***

Q: Look up the E of the second one.
A: -31.2 eV/f.u.

***

Q: The lowest E belongs to which entry?
A: CsLa3Nd2Te6

***

Q: The highest DOS(E_F) belongs to which entry?
A: Ac2Ho2Mg15